[1]
# Pr6Nd8Er (PBE-GGA, relaxed)
# Energy relative to the lowest polymorph listed for this composition (meV/atom): 45
# Crystal system: trigonal
# Energy of formation (eV per atom): 0.15
# Mass density (g/cm3): 6.8
data_Pr6Nd8Er
_cell_length_a 10.0260
_cell_length_b 10.0260
_cell_length_c 18.2925
_cell_angle_alpha 90.00
_cell_angle_beta 90.00
_cell_angle_gamma 120.00
_space_group_name_H-M_alt 'R -3'
_space_group_IT_number 148
_space_group_name_Hall '-R 3'
loop_
_atom_site_label
_atom_site_fract_x
_atom_site_fract_y
_atom_site_fract_z
_atom_site_occupancy
Pr1 0.0430 0.2854 0.1752 1
Nd1 0.0000 0.0000 0.0845 1
Nd2 0.0570 0.2420 0.6697 1
Er1 0.0000 0.0000 0.5000 1

---

[2]
# Pr3Nd5Er3 (PBE-GGA, relaxed)
# Energy relative to the lowest polymorph listed for this composition (meV/atom): 6
# Crystal system: hexagonal
# Energy of formation (eV per atom): 0.32
# Mass density (g/cm3): 6.9
data_Pr3Nd5Er3
_cell_length_a 11.4360
_cell_length_b 11.4360
_cell_length_c 3.4725
_cell_angle_alpha 90.00
_cell_angle_beta 90.00
_cell_angle_gamma 120.00
_space_group_name_H-M_alt 'P -6 2 m'
_space_group_IT_number 189
_space_group_name_Hall 'P -6 -2'
loop_
_atom_site_label
_atom_site_fract_x
_atom_site_fract_y
_atom_site_fract_z
_atom_site_occupancy
Pr1 0.0000 0.4024 0.0000 1
Nd1 0.0000 0.6639 0.5000 1
Nd2 0.3333 0.6667 0.5000 1
Er1 0.0000 0.1583 0.5000 1